Here is an optimized crystal structure of NbAgHg from OQMD via LeMat-Bulk. Energies are from PBE.

Results
Symmetry: F-43m, No. 216
E_form (kJ/mol of atoms): 65
V (Å³/f.u.): 64
Total energy (eV per atom): -3.73

Structure (extended XYZ):
```
3
Lattice="2.937 -2.492 2.292 -0.001 0.089 4.482 -1.414 -3.570 2.313" Properties=species:S:1:pos:R:3 pbc="T T T"
Ag 0.000 0.000 0.000
Hg 0.381 -1.493 2.272
Nb 1.142 -4.480 6.815
```


Here is an optimized crystal structure of CsSmPO from OQMD via LeMat-Bulk. Energies are from PBE.

Results
Symmetry: P4/nmm, No. 129
V (Å³/f.u.): 97
Total energy (eV per atom): -4.85
E above lowest polymorph (eV per atom): 0.514

Structure (extended XYZ):
```
8
Lattice="-4.481 1.049 -3.849 -1.989 -5.605 0.788 -3.095 1.669 4.057" Properties=species:S:1:pos:R:3 pbc="T T T"
Cs -4.858 -3.414 -2.289
Cs -4.708 0.527 3.285
P -6.406 -2.579 -0.260
P -3.159 -0.307 1.256
O -2.612 -3.941 -0.371
O -3.858 -0.614 -2.690
Sm -4.160 -3.107 1.657
Sm -5.405 0.220 -0.661
```


Here is an optimized crystal structure of Pr2Ho2CIBr2Cl2 from OQMD via LeMat-Bulk. Energies are from PBE.

Results
Symmetry: C2/m, No. 12
V (Å³/f.u.): 286
Total energy (eV per atom): -5.11
E above lowest polymorph (eV per atom): 0.006

Structure (extended XYZ):
```
10
Lattice="-0.881 7.629 -5.072 -3.708 8.057 -2.458 5.735 2.079 5.862" Properties=species:S:1:pos:R:3 pbc="T T T"
Pr -2.500 10.286 -4.387
Pr 3.646 7.479 2.720
Ho 0.048 17.356 -2.788
Ho 1.098 0.409 1.121
Br 3.941 4.297 3.559
Br -2.795 13.468 -5.226
C -2.294 7.843 -3.765
Cl 1.192 3.119 0.779
Cl -0.046 14.646 -2.447
I 0.573 8.883 -0.834
```


no.,size of the total moment (Bohr magnetons per cell)
1,0.00
2,0.00
3,0.33